Here is a geometry-optimized LaCeZn4 structure from Alexandria via LeMat-Bulk. Energies are from PBE.

Properties
Size of the total moment   4.594 μB per cell
Formation energy   -143.4 kJ/mol of formula units
Density of states at the Fermi level   22.62 states/eV per cell
V   278.3 Å³ per cell
VASP energy   -2.9072 eV per atom
ΔE to the lowest computed polymorph   47 meV per atom

a b c (Å): 4.2365 4.2365 15.5044
angles (deg): 90.00 90.00 90.00
Fractional coordinates of all 12 atoms:
La  0.0000  0.0000  0.0000
La  0.5000  0.5000  0.5000
Ce  0.0000  0.5000  0.7500
Ce  0.5000  0.0000  0.2500
Zn  0.0000  0.0000  0.4162
Zn  0.0000  0.0000  0.5838
Zn  0.0000  0.5000  0.1689
Zn  0.0000  0.5000  0.3311
Zn  0.5000  0.0000  0.6689
Zn  0.5000  0.0000  0.8311
Zn  0.5000  0.5000  0.0838
Zn  0.5000  0.5000  0.9162


Here is a geometry-optimized La4CeZn5 structure from Alexandria via LeMat-Bulk. Energies are from PBE.

Properties
Size of the total moment   0.584 μB per cell
Formation energy   -271.6 kJ/mol of formula units
Density of states at the Fermi level   15.64 states/eV per cell
V   260.2 Å³ per cell
VASP energy   -3.4828 eV per atom

a b c (Å): 3.7381 3.7381 18.6241
angles (deg): 90.00 90.00 90.00
Fractional coordinates of all 10 atoms:
La  0.0000  0.0000  0.1011
La  0.0000  0.0000  0.3053
La  0.0000  0.0000  0.6947
La  0.0000  0.0000  0.8989
Ce  0.0000  0.0000  0.5000
Zn  0.5000  0.5000  0.0000
Zn  0.5000  0.5000  0.2023
Zn  0.5000  0.5000  0.4081
Zn  0.5000  0.5000  0.5919
Zn  0.5000  0.5000  0.7977


Here is a geometry-optimized LaCeZn structure from Alexandria via LeMat-Bulk. Energies are from PBE.

Properties
Size of the total moment   2.883 μB per cell
Formation energy   -40.3 kJ/mol of formula units
Density of states at the Fermi level   23.99 states/eV per cell
V   325.3 Å³ per cell
VASP energy   -4.1843 eV per atom
ΔE to the lowest computed polymorph   0 meV per atom

a b c (Å): 3.5777 16.8254 5.4041
angles (deg): 90.00 90.00 90.00
Fractional coordinates of all 12 atoms:
La  0.0000  0.0721  0.2500
La  0.0000  0.9279  0.7500
La  0.5000  0.4279  0.7500
La  0.5000  0.5721  0.2500
Ce  0.0000  0.2393  0.7500
Ce  0.0000  0.7607  0.2500
Ce  0.5000  0.2607  0.2500
Ce  0.5000  0.7393  0.7500
Zn  0.0000  0.4087  0.2500
Zn  0.0000  0.5913  0.7500
Zn  0.5000  0.0913  0.7500
Zn  0.5000  0.9087  0.2500


Here is a geometry-optimized LaCe2Zn6 structure from Alexandria via LeMat-Bulk. Energies are from PBE.

Properties
Size of the total moment   2.513 μB per cell
Formation energy   -259.0 kJ/mol of formula units
Density of states at the Fermi level   14.62 states/eV per cell
V   192.7 Å³ per cell
VASP energy   -3.0137 eV per atom

a b c (Å): 8.0415 8.0415 3.4407
angles (deg): 90.00 90.00 120.00
Fractional coordinates of all 9 atoms:
La  0.0000  0.0000  0.0000
Ce  0.3333  0.6667  0.0000
Ce  0.6667  0.3333  0.0000
Zn  0.0000  0.3363  0.5000
Zn  0.0000  0.6637  0.5000
Zn  0.3363  0.0000  0.5000
Zn  0.3363  0.3363  0.5000
Zn  0.6637  0.0000  0.5000
Zn  0.6637  0.6637  0.5000


Here is a geometry-optimized LaCe2Zn3 structure from Alexandria via LeMat-Bulk. Energies are from PBE.

Properties
Size of the total moment   1.064 μB per cell
Formation energy   -126.1 kJ/mol of formula units
Density of states at the Fermi level   13.70 states/eV per cell
V   147.5 Å³ per cell
VASP energy   -3.6539 eV per atom

a b c (Å): 3.6672 3.6672 10.9693
angles (deg): 90.00 90.00 90.00
Fractional coordinates of all 6 atoms:
La  0.0000  0.0000  0.0000
Ce  0.0000  0.0000  0.3404
Ce  0.0000  0.0000  0.6596
Zn  0.5000  0.5000  0.1790
Zn  0.5000  0.5000  0.5000
Zn  0.5000  0.5000  0.8210


Here is a geometry-optimized LaCe3Zn8 structure from Alexandria via LeMat-Bulk. Energies are from PBE.

Properties
Size of the total moment   1.768 μB per cell
Formation energy   -320.1 kJ/mol of formula units
Density of states at the Fermi level   16.23 states/eV per cell
V   239.5 Å³ per cell
VASP energy   -3.0198 eV per atom

a b c (Å): 5.6904 5.6904 8.5415
angles (deg): 90.00 90.00 120.00
Fractional coordinates of all 12 atoms:
La  0.0000  0.0000  0.0000
Ce  0.0000  0.0000  0.3675
Ce  0.6667  0.3333  0.5100
Ce  0.6667  0.3333  0.8460
Zn  0.1686  0.3372  0.6786
Zn  0.1686  0.8314  0.6786
Zn  0.3333  0.6667  0.4273
Zn  0.3333  0.6667  0.9321
Zn  0.5030  0.0059  0.1826
Zn  0.5030  0.4970  0.1826
Zn  0.6628  0.8314  0.6786
Zn  0.9941  0.4970  0.1826


Here is a geometry-optimized LaCeZn structure from Alexandria via LeMat-Bulk. Energies are from PBE.

Properties
Size of the total moment   0.413 μB per cell
Formation energy   -20.9 kJ/mol of formula units
Density of states at the Fermi level   4.74 states/eV per cell
V   77.1 Å³ per cell
VASP energy   -4.1172 eV per atom
ΔE to the lowest computed polymorph   67 meV per atom

a b c (Å): 4.8686 4.8686 3.7575
angles (deg): 90.00 90.00 120.00
Fractional coordinates of all 3 atoms:
La  0.0000  0.0000  0.0000
Ce  0.3333  0.6667  0.3340
Zn  0.6667  0.3333  0.6518


Here is a geometry-optimized LaCeZn10 structure from Alexandria via LeMat-Bulk. Energies are from PBE.

Properties
Size of the total moment   0.712 μB per cell
Formation energy   -323.3 kJ/mol of formula units
Density of states at the Fermi level   7.75 states/eV per cell
V   216.7 Å³ per cell
VASP energy   -2.2460 eV per atom

a b c (Å): 4.2713 5.4203 9.3600
angles (deg): 90.00 90.00 90.00
Fractional coordinates of all 12 atoms:
La  0.0000  0.0000  0.0000
Ce  0.0000  0.5000  0.5000
Zn  0.0000  0.0000  0.3360
Zn  0.0000  0.0000  0.6640
Zn  0.0000  0.5000  0.1693
Zn  0.0000  0.5000  0.8307
Zn  0.5000  0.0000  0.5000
Zn  0.5000  0.2528  0.2544
Zn  0.5000  0.2528  0.7456
Zn  0.5000  0.5000  0.0000
Zn  0.5000  0.7472  0.2544
Zn  0.5000  0.7472  0.7456


What is the formation energy in the eighth record?
-323.3 kJ/mol of formula units